Entry from Alexandria via LeMat-Bulk: crystalline Al2SbPdS at its relaxed geometry (PBE-GGA).

Structure (CIF):
```
data_Al2SbPdS
_space_group_name_H-M_alt 'P 4/m m m'
_space_group_IT_number 123
_space_group_name_Hall '-P 4 2'
_cell_length_a 4.561
_cell_length_b 4.561
_cell_length_c 5.205
_cell_angle_alpha 90.00
_cell_angle_beta 90.00
_cell_angle_gamma 90.00
loop_
_atom_site_label
_atom_site_type_symbol
_atom_site_fract_x
_atom_site_fract_y
_atom_site_fract_z
_atom_site_occupancy
Al1 Al 0.000 0.500 0.000 1
Sb1 Sb 0.000 0.000 0.500 1
Pd1 Pd 0.500 0.500 0.500 1
S1 S 0.000 0.000 0.000 1
```

Calculated values
E_form (uncorrected): 424 meV per atom
Spin magnetization: 0.00 μB/f.u.